This record from the Alexandria database describes LiZnInF6 after structural relaxation. The functional is GGA-PBEsol.

```
LiZnInF6
1.0
4.6284 0.0000 0.0000
0.0000 8.9186 0.0000
0.0000 -4.4593 7.7237
F Zn Li In
18 3 3 3
direct
0.2375 0.1261 0.8971
0.7625 0.8739 0.7710
0.2553 0.4332 0.5396
0.2553 0.4604 0.8935
0.7447 0.5396 0.4332
0.7447 0.8935 0.4604
0.2593 0.7864 0.2256
0.7407 0.2136 0.4392
0.2553 0.1065 0.5668
0.7625 0.8971 0.1261
0.7447 0.5668 0.1065
0.2593 0.4392 0.2136
0.7407 0.2256 0.7864
0.2375 0.7710 0.8739
0.7625 0.2290 0.1029
0.7407 0.5608 0.7744
0.2375 0.1029 0.2290
0.2593 0.7744 0.5608
0.0000 0.3565 0.0000
0.0000 0.0000 0.3565
0.0000 0.6435 0.6435
0.5000 0.3011 0.3011
0.5000 0.0000 0.6989
0.5000 0.6989 0.0000
0.0000 0.0000 0.0000
0.5011 0.6667 0.3333
0.4989 0.3333 0.6667
```

As for the final energy: -4.55 eV per atom. The calculation puts the uncorrected formation energy at -2.538 eV per atom. For the magnetic moment, the calculation gives 0.001 μB/cell.